# Zr4CuIr3

Zr4CuIr3 after structural relaxation (PBE, Alexandria via LeMat-Bulk).

```
8
Lattice="2.329 1.345 7.713 -2.329 1.345 7.713 0.000 -2.690 7.713" Properties=species:S:1:pos:R:3 pbc="T T T"
Zr 0.000 0.000 2.864
Zr 0.000 0.000 8.648
Zr 0.000 0.000 14.491
Zr 0.000 0.000 20.275
Cu 0.000 0.000 11.570
Ir 0.000 0.000 0.000
Ir 0.000 0.000 5.647
Ir 0.000 0.000 17.493
```

Properties
E, eV/cell: -70.1
DOS at the Fermi energy, states/eV/f.u.: 7.87
Calculated formation energy, kcal/mol of atoms: -15.14
SG: R-3m

# ZrCuIr2

ZrCuIr2 after structural relaxation (PBE, Alexandria via LeMat-Bulk).

```
4
Lattice="0.000 3.170 3.170 3.170 0.000 3.170 3.170 3.170 0.000" Properties=species:S:1:pos:R:3 pbc="T T T"
Zr 0.000 0.000 0.000
Cu 4.755 4.755 4.755
Ir 1.585 1.585 1.585
Ir 3.170 3.170 3.170
```

Properties
E, eV/cell: -31.0
DOS at the Fermi energy, states/eV/f.u.: 6.55
Calculated formation energy, kcal/mol of atoms: -3.62
SG: F-43m

# ZrCuIr3

ZrCuIr3 after structural relaxation (PBE, Alexandria via LeMat-Bulk).

```
5
Lattice="4.848 0.000 0.000 0.000 4.848 0.000 0.000 0.000 4.848" Properties=species:S:1:pos:R:3 pbc="T T T"
Zr 0.000 0.000 0.000
Cu 2.424 2.424 2.424
Ir 0.000 0.000 2.424
Ir 0.000 2.424 0.000
Ir 2.424 0.000 0.000
```

Properties
E, eV/cell: -30.3
DOS at the Fermi energy, states/eV/f.u.: 7.46
Calculated formation energy, kcal/mol of atoms: 41.14
SG: Pm-3m

# Zr2CuIr2

Zr2CuIr2 after structural relaxation (PBE, Alexandria via LeMat-Bulk).

```
10
Lattice="7.791 0.000 0.000 0.000 7.791 0.000 0.000 0.000 3.094" Properties=species:S:1:pos:R:3 pbc="T T T"
Zr 1.210 2.685 0.000
Zr 2.685 6.581 0.000
Zr 5.105 1.210 0.000
Zr 6.581 5.105 0.000
Cu 0.000 0.000 0.000
Cu 3.895 3.895 0.000
Ir 1.090 4.986 1.547
Ir 2.805 1.090 1.547
Ir 4.986 6.701 1.547
Ir 6.701 2.805 1.547
```

Properties
E, eV/cell: -81.0
DOS at the Fermi energy, states/eV/f.u.: 2.71
Calculated formation energy, kcal/mol of atoms: -7.26
SG: P4/mbm

# ZrCuIr2

ZrCuIr2 after structural relaxation (PBE, Alexandria via LeMat-Bulk).

```
4
Lattice="3.399 0.000 0.000 0.000 3.399 0.000 0.000 0.000 5.555" Properties=species:S:1:pos:R:3 pbc="T T T"
Zr 0.000 0.000 0.000
Cu 1.700 1.700 1.552
Ir 0.000 0.000 2.663
Ir 1.700 1.700 4.223
```

Properties
E, eV/cell: -31.0
DOS at the Fermi energy, states/eV/f.u.: 6.35
Calculated formation energy, kcal/mol of atoms: -3.61
SG: P4mm

# ZrCuIr

ZrCuIr after structural relaxation (PBE, Alexandria via LeMat-Bulk).

```
3
Lattice="-1.708 1.708 4.234 1.708 -1.708 4.234 1.708 1.708 -4.234" Properties=species:S:1:pos:R:3 pbc="T T T"
Zr 0.000 0.000 0.000
Cu 0.000 0.000 5.709
Ir 0.000 0.000 2.884
```

Properties
E, eV/cell: -22.9
DOS at the Fermi energy, states/eV/f.u.: 2.22
Calculated formation energy, kcal/mol of atoms: -10.63
SG: I4mm

# ZrCuIr2

ZrCuIr2 after structural relaxation (PBE, Alexandria via LeMat-Bulk).

```
4
Lattice="3.264 0.000 0.000 0.000 3.264 0.000 0.000 0.000 5.890" Properties=species:S:1:pos:R:3 pbc="T T T"
Zr 0.000 0.000 0.000
Cu 0.000 0.000 2.945
Ir 1.632 1.632 1.593
Ir 1.632 1.632 4.297
```

Properties
E, eV/cell: -32.1
DOS at the Fermi energy, states/eV/f.u.: 2.36
Calculated formation energy, kcal/mol of atoms: -9.82
SG: P4/mmm

# Zr4CuIr

Zr4CuIr after structural relaxation (PBE, Alexandria via LeMat-Bulk).

```
12
Lattice="6.462 0.000 0.000 0.000 6.472 0.000 -0.185 0.000 6.396" Properties=species:S:1:pos:R:3 pbc="T T T"
Zr 0.938 1.026 2.258
Zr 0.846 2.210 5.456
Zr 2.074 4.308 2.108
Zr 1.982 5.399 5.306
Zr 4.295 1.072 1.089
Zr 4.203 2.164 4.287
Zr 5.432 4.262 0.940
Zr 5.340 5.446 4.138
Cu 3.139 0.000 3.198
Cu 3.231 3.236 0.000
Ir 0.000 0.000 0.000
Ir -0.092 3.236 3.198
```

Properties
E, eV/cell: -95.1
DOS at the Fermi energy, states/eV/f.u.: 8.04
Calculated formation energy, kcal/mol of atoms: -1.46
SG: P2_1/c

# ZrCuIr2

ZrCuIr2 after structural relaxation (PBE, Alexandria via LeMat-Bulk).

```
4
Lattice="4.503 -1.475 0.000 4.503 1.475 0.000 -1.020 0.000 4.731" Properties=species:S:1:pos:R:3 pbc="T T T"
Zr 0.000 0.000 0.000
Cu 3.994 0.000 2.365
Ir 1.486 0.000 3.461
Ir 6.502 0.000 1.270
```

Properties
E, eV/cell: -31.7
DOS at the Fermi energy, states/eV/f.u.: 2.43
Calculated formation energy, kcal/mol of atoms: -7.41
SG: C2/m

# Zr2CuIr

Zr2CuIr after structural relaxation (PBE, Alexandria via LeMat-Bulk).

```
4
Lattice="4.659 0.000 0.000 0.000 4.659 0.000 0.000 0.000 3.299" Properties=species:S:1:pos:R:3 pbc="T T T"
Zr 0.000 2.330 0.000
Zr 2.330 0.000 0.000
Cu 0.000 0.000 1.649
Ir 2.330 2.330 1.649
```

Properties
E, eV/cell: -32.1
DOS at the Fermi energy, states/eV/f.u.: 3.16
Calculated formation energy, kcal/mol of atoms: -11.57
SG: P4/mmm

# Zr2CuIr2

Zr2CuIr2 after structural relaxation (PBE, Alexandria via LeMat-Bulk).

```
10
Lattice="7.553 0.000 0.000 0.000 7.553 0.000 0.000 0.000 3.224" Properties=species:S:1:pos:R:3 pbc="T T T"
Zr 1.226 2.550 0.000
Zr 2.550 6.327 0.000
Zr 5.003 1.226 0.000
Zr 6.327 5.003 0.000
Cu 0.000 0.000 1.612
Cu 3.777 3.777 1.612
Ir 1.040 4.817 1.612
Ir 2.736 1.040 1.612
Ir 4.817 6.513 1.612
Ir 6.513 2.736 1.612
```

Properties
E, eV/cell: -82.9
DOS at the Fermi energy, states/eV/f.u.: 2.84
Calculated formation energy, kcal/mol of atoms: -11.68
SG: P4/mbm

# ZrCuIr2

ZrCuIr2 after structural relaxation (PBE, Alexandria via LeMat-Bulk).

```
4
Lattice="1.425 0.823 8.915 -1.425 0.823 8.915 0.000 -1.645 8.915" Properties=species:S:1:pos:R:3 pbc="T T T"
Zr 0.000 0.000 0.000
Cu 0.000 0.000 13.372
Ir 0.000 0.000 6.557
Ir 0.000 0.000 20.187
```

Properties
E, eV/cell: -30.5
DOS at the Fermi energy, states/eV/f.u.: 4.41
Calculated formation energy, kcal/mol of atoms: -1.01
SG: R-3m

# Zr3Cu2Ir

Zr3Cu2Ir after structural relaxation (PBE, Alexandria via LeMat-Bulk).

```
6
Lattice="2.309 -6.935 0.000 2.309 6.935 0.000 0.000 0.000 3.344" Properties=species:S:1:pos:R:3 pbc="T T T"
Zr 0.000 0.000 0.000
Zr 2.309 2.271 0.000
Zr 2.309 -2.271 0.000
Cu 2.309 4.515 1.672
Cu 2.309 -4.515 1.672
Ir 2.309 0.000 1.672
```

Properties
E, eV/cell: -45.0
DOS at the Fermi energy, states/eV/f.u.: 5.72
Calculated formation energy, kcal/mol of atoms: -8.90
SG: Cmmm

# Zr2CuIr

Zr2CuIr after structural relaxation (PBE, Alexandria via LeMat-Bulk).

```
4
Lattice="3.429 0.000 0.000 0.000 4.237 0.000 -1.691 0.000 5.084" Properties=species:S:1:pos:R:3 pbc="T T T"
Zr 0.000 0.000 0.000
Zr 0.001 2.118 2.862
Cu 1.713 2.118 0.556
Ir 1.716 0.000 2.266
```

Properties
E, eV/cell: -32.2
DOS at the Fermi energy, states/eV/f.u.: 3.18
Calculated formation energy, kcal/mol of atoms: -12.18
SG: Pm

# KCu5

KCu5 after structural relaxation (PBE, Alexandria via LeMat-Bulk).

```
6
Lattice="3.090 0.000 0.000 0.000 3.090 0.000 0.000 0.000 10.158" Properties=species:S:1:pos:R:3 pbc="T T T"
K 0.000 0.000 0.000
Cu 0.000 0.000 3.753
Cu 0.000 0.000 6.406
Cu 1.545 1.545 2.564
Cu 1.545 1.545 5.079
Cu 1.545 1.545 7.594
```

Properties
E, eV/cell: -20.0
DOS at the Fermi energy, states/eV/f.u.: 1.80
Calculated formation energy, kcal/mol of atoms: 6.08
SG: P4/mmm

# K4Cu

K4Cu after structural relaxation (PBE, Alexandria via LeMat-Bulk).

```
5
Lattice="6.642 0.000 0.000 0.000 6.642 0.000 0.000 0.000 6.642" Properties=species:S:1:pos:R:3 pbc="T T T"
K 0.000 0.000 0.000
K 0.000 3.321 3.321
K 3.321 0.000 3.321
K 3.321 3.321 0.000
Cu 3.321 3.321 3.321
```

Properties
E, eV/cell: -7.5
DOS at the Fermi energy, states/eV/f.u.: 3.25
Calculated formation energy, kcal/mol of atoms: 4.55
SG: Pm-3m

# KCu5

KCu5 after structural relaxation (PBE, Alexandria via LeMat-Bulk).

```
6
Lattice="5.753 -1.349 0.000 5.753 1.349 0.000 -0.027 0.000 6.423" Properties=species:S:1:pos:R:3 pbc="T T T"
K 0.000 0.000 0.000
Cu 0.983 0.000 3.202
Cu 2.898 0.000 6.413
Cu 4.635 0.000 3.202
Cu 8.556 0.000 1.997
Cu 8.554 0.000 4.405
```

Properties
E, eV/cell: -20.1
DOS at the Fermi energy, states/eV/f.u.: 2.00
Calculated formation energy, kcal/mol of atoms: 5.70
SG: Cm

# K4Cu

K4Cu after structural relaxation (PBE, Alexandria via LeMat-Bulk).

```
5
Lattice="-4.108 4.108 4.108 4.108 -4.108 4.108 4.108 4.108 -4.108" Properties=species:S:1:pos:R:3 pbc="T T T"
K 2.054 2.054 -2.054
K 2.054 -2.054 2.054
K -2.054 2.054 2.054
K 2.054 2.054 2.054
Cu 0.000 0.000 0.000
```

Properties
E, eV/cell: -7.3
DOS at the Fermi energy, states/eV/f.u.: 3.49
Calculated formation energy, kcal/mol of atoms: 5.35
SG: Im-3m

# K4Cu5

K4Cu5 after structural relaxation (PBE, Alexandria via LeMat-Bulk).

```
9
Lattice="-6.137 6.137 2.292 6.137 -6.137 2.292 6.137 6.137 -2.292" Properties=species:S:1:pos:R:3 pbc="T T T"
K 3.126 0.000 0.000
K 9.148 0.000 0.000
K 0.000 3.126 0.000
K 0.000 9.148 0.000
Cu 0.000 0.000 0.000
Cu 3.247 3.247 0.000
Cu 2.890 -2.890 2.292
Cu -2.890 2.890 2.292
Cu 2.890 2.890 2.292
```

Properties
E, eV/cell: -20.5
DOS at the Fermi energy, states/eV/f.u.: 2.09
Calculated formation energy, kcal/mol of atoms: 11.16
SG: I4/mmm

# KCu7

KCu7 after structural relaxation (PBE, Alexandria via LeMat-Bulk).

```
8
Lattice="0.000 3.841 3.841 3.841 0.000 3.841 3.841 3.841 0.000" Properties=species:S:1:pos:R:3 pbc="T T T"
K 0.000 0.000 0.000
Cu 1.921 1.921 0.000
Cu 1.921 0.000 1.921
Cu 3.841 1.921 1.921
Cu 0.000 1.921 1.921
Cu 1.921 3.841 1.921
Cu 1.921 1.921 3.841
Cu 3.841 3.841 3.841
```

Properties
E, eV/cell: -25.8
DOS at the Fermi energy, states/eV/f.u.: 7.97
Calculated formation energy, kcal/mol of atoms: 11.35
SG: Fm-3m